(1)
# LuSn2Sb (PBE, relaxed)
data_LuSn2Sb
_chemical_formula_sum 'Lu3 Sn6 Sb3'
_cell_length_a 3.3644
_cell_length_b 3.3644
_cell_length_c 35.4820
_cell_angle_alpha 90.00
_cell_angle_beta 90.00
_cell_angle_gamma 120.00
_symmetry_space_group_name_H-M 'R -3 m'
_symmetry_Int_Tables_number 166
_symmetry_space_group_name_Hall '-R 3 2"'
loop_
_atom_site_label
_atom_site_type_symbol
_atom_site_fract_x
_atom_site_fract_y
_atom_site_fract_z
Lu1 Lu 0.0000 0.0000 0.0000
Sn1 Sn 0.0000 0.0000 0.0870
Sb1 Sb 0.0000 0.0000 0.5000
# Electronic total energy in eV per cell: -47.708
# Density of states at the Fermi level in states/eV/atom: 0.69
# Uncorrected formation energy in meV per atom: 187
# V in A^3/atom: 28.98
# Offset from the most stable computed form in meV per atom: 502

=====

(2)
# Cs2LaOsO6 (PBE, relaxed)
data_Cs2LaOsO6
_chemical_formula_sum 'Cs2 La1 Os1 O6'
_cell_length_a 6.7240
_cell_length_b 6.7240
_cell_length_c 6.1106
_cell_angle_alpha 90.00
_cell_angle_beta 90.00
_cell_angle_gamma 120.00
_symmetry_space_group_name_H-M 'P -3 m 1'
_symmetry_Int_Tables_number 164
_symmetry_space_group_name_Hall '-P 3 2"'
loop_
_atom_site_label
_atom_site_type_symbol
_atom_site_fract_x
_atom_site_fract_y
_atom_site_fract_z
Cs1 Cs 0.3333 0.6667 0.1167
La1 La 0.0000 0.0000 0.5000
Os1 Os 0.0000 0.0000 0.0000
O1 O 0.1299 0.2597 0.8061
# Electronic total energy in eV per cell: -65.351
# Density of states at the Fermi level in states/eV/atom: 0.47
# Uncorrected formation energy in meV per atom: -1774
# V in A^3/atom: 23.93

=====

(3)
# MgU2Si2O18 (PBE, relaxed)
data_MgU2Si2O18
_chemical_formula_sum 'Mg2 U4 Si4 O36'
_cell_length_a 14.481
_cell_length_b 7.119
_cell_length_c 6.867
_cell_angle_alpha 90.00
_cell_angle_beta 100.96
_cell_angle_gamma 90.00
_symmetry_space_group_name_H-M 'C 1 2/m 1'
_symmetry_Int_Tables_number 12
loop_
_symmetry_equiv_pos_as_xyz
'x,y,z'
'-x,-y,-z'
'-x,y,-z'
'x,-y,z'
'x+1/2,y+1/2,z'
'-x+1/2,-y+1/2,-z'
'-x+1/2,y+1/2,-z'
'x+1/2,-y+1/2,z'
loop_
_atom_site_label
_atom_site_type_symbol
_atom_site_fract_x
_atom_site_fract_y
_atom_site_fract_z
Mg1 Mg 0.000 0.000 0.000
U1 U 0.244 0.000 0.355
Si1 Si 0.209 0.000 0.804
O1 O 0.013 0.500 0.255
O2 O 0.033 0.346 0.176
O3 O 0.103 0.000 0.849
O4 O 0.115 0.000 0.262
O5 O 0.130 0.500 0.569
O6 O 0.236 0.175 0.670
O7 O 0.237 0.500 0.963
# Electronic total energy in eV per cell: -328.772
# Density of states at the Fermi level in states/eV/atom: 0.14
# Uncorrected formation energy in meV per atom: -1744
# V in A^3/atom: 15.11
# Offset from the most stable computed form in meV per atom: 0

=====

(4)
# Er2MnZn (PBE, relaxed)
data_Er2MnZn
_chemical_formula_sum 'Er2 Mn1 Zn1'
_cell_length_a 3.508
_cell_length_b 3.508
_cell_length_c 7.064
_cell_angle_alpha 90.00
_cell_angle_beta 90.00
_cell_angle_gamma 90.00
_symmetry_space_group_name_H-M 'P 4/m m m'
_symmetry_Int_Tables_number 123
_symmetry_space_group_name_Hall '-P 4 2'
loop_
_atom_site_label
_atom_site_type_symbol
_atom_site_fract_x
_atom_site_fract_y
_atom_site_fract_z
Er1 Er 0.000 0.000 0.245
Mn1 Mn 0.500 0.500 0.000
Zn1 Zn 0.500 0.500 0.500
# ΔE_f in eV per atom: -0.0929
# Electronic total energy in eV per cell: -19.941
# Density of states at the Fermi level in states/eV/atom: 1.31
# V in A^3/atom: 21.73
# Offset from the most stable computed form in meV per atom: 0

=====

(5)
# NiAsP2 (PBE, relaxed)
data_NiAsP2
_chemical_formula_sum 'Ni1 As1 P2'
_cell_length_a 4.210
_cell_length_b 3.459
_cell_length_c 4.365
_cell_angle_alpha 90.00
_cell_angle_beta 107.35
_cell_angle_gamma 90.00
_symmetry_space_group_name_H-M 'P 1 2/m 1'
_symmetry_Int_Tables_number 10
loop_
_symmetry_equiv_pos_as_xyz
'x,y,z'
'-x,-y,-z'
'-x,y,-z'
'x,-y,z'
loop_
_atom_site_label
_atom_site_type_symbol
_atom_site_fract_x
_atom_site_fract_y
_atom_site_fract_z
Ni1 Ni 0.000 0.000 0.000
As1 As 0.500 0.000 0.500
P1 P 0.258 0.500 0.815
# ΔE_f in eV per atom: -0.0484
# Electronic total energy in eV per cell: -21.444
# Density of states at the Fermi level in states/eV/atom: 0.41
# V in A^3/atom: 15.17

=====

(6)
# LiEuAu4 (PBE, relaxed)
data_LiEuAu4
_chemical_formula_sum 'Li4 Eu4 Au16'
_cell_length_a 7.966
_cell_length_b 7.966
_cell_length_c 7.966
_cell_angle_alpha 90.00
_cell_angle_beta 90.00
_cell_angle_gamma 90.00
_symmetry_space_group_name_H-M 'F -4 3 m'
_symmetry_Int_Tables_number 216
_symmetry_space_group_name_Hall 'F -4 2 3'
loop_
_atom_site_label
_atom_site_type_symbol
_atom_site_fract_x
_atom_site_fract_y
_atom_site_fract_z
Li1 Li 0.000 0.000 0.000
Eu1 Eu 0.250 0.250 0.250
Au1 Au 0.126 0.126 0.626
# ΔE_f in eV per atom: -0.5052
# Electronic total energy in eV per cell: -113.316
# Density of states at the Fermi level in states/eV/atom: 1.30
# V in A^3/atom: 21.07

=====

(7)
# CsBaPd2Pb (PBE, relaxed)
data_CsBaPd2Pb
_chemical_formula_sum 'Cs1 Ba1 Pd2 Pb1'
_cell_length_a 5.388
_cell_length_b 5.388
_cell_length_c 6.216
_cell_angle_alpha 90.00
_cell_angle_beta 90.00
_cell_angle_gamma 90.00
_symmetry_space_group_name_H-M 'P 4/m m m'
_symmetry_Int_Tables_number 123
_symmetry_space_group_name_Hall '-P 4 2'
loop_
_atom_site_label
_atom_site_type_symbol
_atom_site_fract_x
_atom_site_fract_y
_atom_site_fract_z
Cs1 Cs 0.000 0.000 0.000
Ba1 Ba 0.500 0.500 0.000
Pd1 Pd 0.000 0.500 0.500
Pb1 Pb 0.000 0.000 0.500
# ΔE_f in eV per atom: 0.2661
# Electronic total energy in eV per cell: -15.540
# Density of states at the Fermi level in states/eV/atom: 0.67
# V in A^3/atom: 36.10
# Offset from the most stable computed form in meV per atom: 0

=====

(8)
# CaCo2Ir (PBE, relaxed)
data_CaCo2Ir
_chemical_formula_sum 'Ca2 Co4 Ir2'
_cell_length_a 2.890
_cell_length_b 4.692
_cell_length_c 9.464
_cell_angle_alpha 90.00
_cell_angle_beta 90.00
_cell_angle_gamma 90.00
_symmetry_space_group_name_H-M 'I m m m'
_symmetry_Int_Tables_number 71
_symmetry_space_group_name_Hall '-I 2 2'
loop_
_atom_site_label
_atom_site_type_symbol
_atom_site_fract_x
_atom_site_fract_y
_atom_site_fract_z
Ca1 Ca 0.000 0.000 0.000
Co1 Co 0.000 0.500 0.220
Ir1 Ir 0.000 0.000 0.500
# ΔE_f in eV per atom: 0.3317
# Electronic total energy in eV per cell: -47.495
# Density of states at the Fermi level in states/eV/atom: 1.25
# V in A^3/atom: 16.04